Material: CeHo5Sc
Method: DFT, PBE-GGA
State: relaxed

Cell and atoms, written as CIF:
```
data_CeHo5Sc
_cell_length_a 6.430
_cell_length_b 12.606
_cell_length_c 8.488
_cell_angle_alpha 26.80
_cell_angle_beta 45.97
_cell_angle_gamma 45.36
_symmetry_space_group_name_H-M 'P 1'
_symmetry_Int_Tables_number 1
_symmetry_space_group_name_Hall 'P 1'
loop_
_atom_site_label
_atom_site_fract_x
_atom_site_fract_y
_atom_site_fract_z
_atom_site_occupancy
Ce1 0.000 0.000 0.000 1
Ho1 0.194 0.192 0.300 1
Ho2 0.810 0.423 0.845 1
Ho3 0.500 0.000 0.000 1
Ho4 0.190 0.577 0.155 1
Ho5 0.806 0.808 0.700 1
Sc1 0.500 0.500 0.500 1
```

Magnetization in μB per formula unit: 1.42
Total DFT energy (no corrections) in eV/atom: -4.815
N(E_F) in states/eV/f.u.: 16.1
SG: P-1 (2)
DFT formation energy in eV per atom: 0.207

---

Material: Ce2HoSc12
Method: DFT, PBE-GGA
State: relaxed

Cell and atoms, written as CIF:
```
data_Ce2HoSc12
_cell_length_a 5.920
_cell_length_b 5.920
_cell_length_c 23.721
_cell_angle_alpha 90.00
_cell_angle_beta 90.00
_cell_angle_gamma 90.01
_symmetry_space_group_name_H-M 'P 1'
_symmetry_Int_Tables_number 1
_symmetry_space_group_name_Hall 'P 1'
loop_
_atom_site_label
_atom_site_fract_x
_atom_site_fract_y
_atom_site_fract_z
_atom_site_occupancy
Ce1 0.500 0.000 0.279 1
Ce2 0.000 0.500 0.279 1
Ce3 0.000 0.500 0.721 1
Ce4 0.500 0.000 0.721 1
Ho1 0.500 0.000 0.000 1
Ho2 0.000 0.500 0.000 1
Sc1 0.500 0.500 0.784 1
Sc2 0.000 0.000 0.784 1
Sc3 0.684 0.816 0.881 1
Sc4 0.184 0.684 0.881 1
Sc5 0.000 0.000 0.344 1
Sc6 0.316 0.816 0.119 1
Sc7 0.830 0.330 0.559 1
Sc8 0.500 0.500 0.344 1
Sc9 0.316 0.184 0.881 1
Sc10 0.816 0.684 0.119 1
Sc11 0.330 0.170 0.559 1
Sc12 0.670 0.170 0.441 1
Sc13 0.000 0.000 0.656 1
Sc14 0.170 0.330 0.441 1
Sc15 0.184 0.316 0.119 1
Sc16 0.830 0.670 0.441 1
Sc17 0.670 0.830 0.559 1
Sc18 0.000 0.000 0.216 1
Sc19 0.170 0.670 0.559 1
Sc20 0.500 0.500 0.656 1
Sc21 0.816 0.316 0.881 1
Sc22 0.500 0.500 0.216 1
Sc23 0.330 0.830 0.441 1
Sc24 0.684 0.184 0.119 1
```

Magnetization in μB per formula unit: 5.88
Total DFT energy (no corrections) in eV/atom: -5.829
N(E_F) in states/eV/f.u.: 29.1
SG: P4/nbm (125)
DFT formation energy in eV per atom: 0.332

---

Material: Ce2HoSc
Method: DFT, PBE-GGA
State: relaxed

Cell and atoms, written as CIF:
```
data_Ce2HoSc
_cell_length_a 3.388
_cell_length_b 3.388
_cell_length_c 11.422
_cell_angle_alpha 81.47
_cell_angle_beta 81.47
_cell_angle_gamma 60.00
_symmetry_space_group_name_H-M 'P 1'
_symmetry_Int_Tables_number 1
_symmetry_space_group_name_Hall 'P 1'
loop_
_atom_site_label
_atom_site_fract_x
_atom_site_fract_y
_atom_site_fract_z
_atom_site_occupancy
Ce1 0.086 0.086 0.742 1
Ce2 0.247 0.247 0.260 1
Ho1 0.668 0.668 0.995 1
Sc1 0.499 0.499 0.503 1
```

Magnetization in μB per formula unit: 1.26
Total DFT energy (no corrections) in eV/atom: -5.604
Energy relative to the lowest polymorph listed for this composition in eV/atom: 0.002
N(E_F) in states/eV/f.u.: 10.5
SG: R3m (160)
DFT formation energy in eV per atom: 0.090